# 1
First-principles (GGA-PBE) data for an optimized crystal structure of Cu2SiC, as listed in Alexandria via LeMat-Bulk.

Unit cell a=3.936 b=3.936 c=7.121 alpha=73.96 beta=73.96 gamma=90.00
Sites, in units of the cell vectors:
1 Si 0.000 0.000 0.000
2 Si 0.750 0.250 0.500
3 C 0.500 0.500 0.000
4 C 0.250 0.750 0.500
5 Cu 0.541 0.125 0.250
6 Cu 0.209 0.625 0.250
7 Cu 0.375 0.459 0.750
8 Cu 0.875 0.791 0.750

Summary:
E above lowest polymorph: 0.000 eV per atom
formation energy without anion corrections: 935 meV per atom

=====

# 2
First-principles (GGA-PBE) data for an optimized crystal structure of Ac2GeRuO6, as listed in Alexandria via LeMat-Bulk.

Unit cell a=4.011 b=5.702 c=5.702 alpha=90.00 beta=90.00 gamma=90.00
Sites, in units of the cell vectors:
1 Ac 0.144 0.500 0.000
2 Ac 0.144 0.000 0.500
3 Ge 0.645 0.000 0.000
4 Ru 0.645 0.500 0.500
5 O 0.645 0.237 0.237
6 O 0.645 0.237 0.763
7 O 0.144 0.500 0.500
8 O 0.145 0.000 0.000
9 O 0.645 0.763 0.763
10 O 0.645 0.763 0.237

Summary:
formation energy without anion corrections: -2168 meV per atom

=====

# 3
First-principles (GGA-PBE) data for an optimized crystal structure of Cs5AgO, as listed in Alexandria via LeMat-Bulk.

Unit cell a=10.060 b=9.098 c=12.596 alpha=86.59 beta=66.46 gamma=56.43
Sites, in units of the cell vectors:
1 Cs 0.079 0.683 0.111
2 Cs 0.738 0.560 0.523
3 Cs 0.628 0.183 0.611
4 Cs 0.806 0.250 0.250
5 Cs 0.321 0.940 0.977
6 Cs 0.679 0.060 0.023
7 Cs 0.194 0.750 0.750
8 Cs 0.372 0.817 0.389
9 Cs 0.262 0.440 0.477
10 Cs 0.921 0.317 0.889
11 Ag 0.186 0.250 0.250
12 Ag 0.814 0.750 0.750
13 O 0.000 0.000 0.000
14 O 0.500 0.500 0.500

Summary:
formation energy without anion corrections: -400 meV per atom

=====

# 4
First-principles (GGA-PBE) data for an optimized crystal structure of P2RhPb, as listed in Alexandria via LeMat-Bulk.

Unit cell a=4.623 b=4.601 c=4.613 alpha=69.89 beta=71.73 gamma=110.20
Sites, in units of the cell vectors:
1 P 0.000 0.000 0.000
2 P 0.500 0.000 0.500
3 Pb 0.000 0.500 0.500
4 Rh 0.500 0.500 0.000

Summary:
formation energy from the elements: 0.3289 eV/atom